{
  "formula": "Nd2CuCl2",
  "functional": "PBE",
  "state": "optimized geometry",
  "cell": [[2.0310, 1.1726, 10.5141], [-2.0310, 1.1726, 10.5141], [0.0000, -2.3452, 10.5141]],
  "species": ["Nd", "Nd", "Cu", "Cl", "Cl"],
  "frac_coords": [[0.1103, 0.1103, 0.1103], [0.8897, 0.8897, 0.8897], [0.5000, 0.5000, 0.5000], [0.2771, 0.2771, 0.2771], [0.7229, 0.7229, 0.7229]],
  "total_energy_ev_per_fu": -23.36
}